PBE BaMg2Ge2, optimized geometry; E_tot = -3.345 eV per atom; SG = C2/m, No. 12; calculated formation energy = -2.4 eV/f.u.
1.0
4.692 0.001 0.008
-0.002 4.692 0.008
-2.350 -2.352 5.730
Mg Ge Ba
2 2 1
Direct
0.749 0.251 0.500 Mg
0.251 0.749 0.500 Mg
0.617 0.617 0.231 Ge
0.383 0.383 0.769 Ge
0.000 0.000 0.000 Ba

***

PBE BaMg2Ge2, optimized geometry; E_tot = -3.147 eV per atom; SG = I4/mmm, No. 139; calculated formation energy = -1.4 eV/f.u.
1.0
4.931 0.000 0.000
0.000 4.931 0.000
2.466 2.466 5.512
Mg Ge Ba
2 2 1
Direct
0.362 0.362 0.275 Mg
0.638 0.638 0.725 Mg
0.750 0.250 0.500 Ge
0.250 0.750 0.500 Ge
0.000 0.000 0.000 Ba

***

PBE BaMgGe2, optimized geometry; E_tot = -3.646 eV per atom; SG = Pnma, No. 62; E above lowest polymorph = 0.00 kJ per mole of atoms; calculated formation energy = -1.8 eV/f.u.
1.0
-3.601 2.318 0.464
-4.526 -7.062 0.156
1.181 -0.500 11.666
Ba Mg Ge
4 4 8
Direct
0.750 0.878 0.129 Ba
0.250 0.122 0.871 Ba
0.750 0.378 0.371 Ba
0.250 0.622 0.629 Ba
0.250 0.515 0.123 Mg
0.250 0.015 0.377 Mg
0.750 0.485 0.877 Mg
0.750 0.985 0.623 Mg
0.750 0.813 0.828 Ge
0.250 0.187 0.172 Ge
0.750 0.313 0.672 Ge
0.250 0.687 0.328 Ge
0.750 0.802 0.427 Ge
0.250 0.698 0.927 Ge
0.750 0.302 0.073 Ge
0.250 0.198 0.573 Ge

***

PBE BaMg3Ge2, optimized geometry; E_tot = -3.052 eV per atom; SG = C2/m, No. 12; calculated formation energy = -2.4 eV/f.u.
1.0
4.491 0.000 0.000
-2.246 8.829 -2.537
0.000 0.439 11.199
Ba Mg Ge
3 9 6
Direct
0.155 0.310 0.705 Ba
0.845 0.690 0.295 Ba
0.000 0.000 0.000 Ba
0.044 0.089 0.348 Mg
0.956 0.911 0.652 Mg
0.214 0.428 0.392 Mg
0.786 0.572 0.608 Mg
0.626 0.252 0.214 Mg
0.374 0.748 0.786 Mg
0.500 0.000 0.500 Mg
0.323 0.646 0.025 Mg
0.677 0.354 0.975 Mg
0.198 0.395 0.133 Ge
0.802 0.605 0.867 Ge
0.472 0.944 0.218 Ge
0.528 0.056 0.782 Ge
0.356 0.711 0.536 Ge
0.644 0.289 0.464 Ge

***

PBE Ba2MgGe, optimized geometry; E_tot = -2.835 eV per atom; SG = P2_1/m, No. 11; calculated formation energy = -1.3 eV/f.u.
1.0
4.785 0.000 0.000
0.000 7.197 0.128
0.000 -3.425 8.819
Ba Mg Ge
4 2 2
Direct
0.750 0.194 0.426 Ba
0.250 0.806 0.574 Ba
0.250 0.776 0.076 Ba
0.750 0.224 0.924 Ba
0.250 0.397 0.236 Mg
0.750 0.603 0.764 Mg
0.750 0.634 0.290 Ge
0.250 0.366 0.710 Ge

***

PBE Ba3MgGe2, optimized geometry; E_tot = -3.214 eV per atom; SG = Ibam, No. 72; calculated formation energy = -2.7 eV/f.u.
1.0
2.837 -2.989 -6.737
3.571 -4.903 3.679
-9.274 -0.810 1.083
Ba Mg Ge
6 2 4
Direct
0.365 0.681 0.362 Ba
0.635 0.319 0.638 Ba
0.003 0.819 0.638 Ba
0.997 0.181 0.362 Ba
0.500 0.750 0.000 Ba
0.500 0.250 0.000 Ba
0.000 0.250 0.000 Mg
0.000 0.750 0.000 Mg
0.317 0.108 0.215 Ge
0.683 0.892 0.785 Ge
0.101 0.392 0.785 Ge
0.899 0.608 0.215 Ge

***

PBE Ba2MgGe, optimized geometry; E_tot = -2.755 eV per atom; SG = P4/mmm, No. 123; calculated formation energy = -1.0 eV/f.u.
1.0
-1.373 -2.346 -3.114
-0.045 -3.292 2.500
-8.185 1.815 2.242
Mg Ge Ba
1 1 2
Direct
0.500 0.500 0.500 Mg
0.500 0.500 0.000 Ge
0.000 0.000 0.784 Ba
0.000 0.000 0.216 Ba

***

PBE BaMgGe2N, optimized geometry; E_tot = -3.797 eV per atom; SG = P4/mmm, No. 123; formation energy without anion corrections = 40 kJ/mol of atoms
1.0
5.354 0.000 0.000
0.000 4.105 0.000
0.000 0.000 5.354
Mg Ge Ba N
1 2 1 1
Direct
0.000 0.000 0.000 Mg
0.000 0.000 0.500 Ge
0.500 0.000 0.000 Ge
0.500 0.500 0.500 Ba
0.000 0.500 0.000 N

***

no.,DOS(E_F) (states/eV/cell),magnetization (μB/f.u.)
1,1.69,0.0
2,3.40,0.0
3,4.01,0.0
4,6.27,0.0
5,3.55,0.0
6,0.89,0.0
7,2.61,0.0
8,3.15,0.0